DFT (PBE) results for an optimized crystal structure of CsBiI4.

Properties
Uncorrected formation energy, meV/atom: -832.4
Total moment, μB/atom: 0.00
E above lowest polymorph, meV/atom: 0
DFT total energy, eV/atom: -2.655

```
data_CsBiI4
_chemical_formula_sum 'Cs4 Bi4 I16'
_cell_length_a 10.311
_cell_length_b 20.353
_cell_length_c 7.694
_cell_angle_alpha 90.00
_cell_angle_beta 115.30
_cell_angle_gamma 90.00
_space_group_name_H-M_alt 'C 1 2/c 1'
_space_group_IT_number 15
loop_
_space_group_symop_operation_xyz
'x,y,z'
'-x,-y,-z'
'-x,y,-z+1/2'
'x,-y,z+1/2'
'x+1/2,y+1/2,z'
'-x+1/2,-y+1/2,-z'
'-x+1/2,y+1/2,-z+1/2'
'x+1/2,-y+1/2,z+1/2'
loop_
_atom_site_label
_atom_site_type_symbol
_atom_site_fract_x
_atom_site_fract_y
_atom_site_fract_z
Cs1 Cs 0.000 0.174 0.250
Bi1 Bi 0.000 0.433 0.250
I1 I 0.189 0.448 0.690
I2 I 0.201 0.332 0.214
```


DFT (PBE) results for an optimized crystal structure of Tb5Nd6Er.

Properties
ΔE_f, eV per formula unit: 0.13
Total moment, μB/atom: 0.00
E above lowest polymorph, meV/atom: 0
DFT total energy, eV/atom: -4.682

```
data_Tb5Nd6Er
_chemical_formula_sum 'Tb10 Nd12 Er2'
_cell_length_a 6.281
_cell_length_b 10.877
_cell_length_c 11.893
_cell_angle_alpha 90.00
_cell_angle_beta 100.10
_cell_angle_gamma 90.00
_space_group_name_H-M_alt 'C 1 2/m 1'
_space_group_IT_number 12
loop_
_space_group_symop_operation_xyz
'x,y,z'
'-x,-y,-z'
'-x,y,-z'
'x,-y,z'
'x+1/2,y+1/2,z'
'-x+1/2,-y+1/2,-z'
'-x+1/2,y+1/2,-z'
'x+1/2,-y+1/2,z'
loop_
_atom_site_label
_atom_site_type_symbol
_atom_site_fract_x
_atom_site_fract_y
_atom_site_fract_z
Tb1 Tb 0.000 0.000 0.000
Tb2 Tb 0.000 0.167 0.500
Tb3 Tb 0.000 0.333 0.000
Nd1 Nd 0.249 0.334 0.749
Nd2 Nd 0.250 0.000 0.750
Er1 Er 0.000 0.500 0.500
```


DFT (PBE) results for an optimized crystal structure of Li2DySn9.

Properties
ΔE_f, eV per formula unit: -2.78
Total moment, μB/atom: 0.00
DFT total energy, eV/atom: -3.936

```
data_Li2DySn9
_chemical_formula_sum 'Li2 Dy1 Sn9'
_cell_length_a 4.615
_cell_length_b 4.615
_cell_length_c 14.267
_cell_angle_alpha 90.00
_cell_angle_beta 90.00
_cell_angle_gamma 90.00
_space_group_name_H-M_alt 'P 4/m m m'
_space_group_IT_number 123
_space_group_name_Hall '-P 4 2'
loop_
_atom_site_label
_atom_site_type_symbol
_atom_site_fract_x
_atom_site_fract_y
_atom_site_fract_z
Li1 Li 0.000 0.000 0.166
Dy1 Dy 0.000 0.000 0.500
Sn1 Sn 0.000 0.500 0.000
Sn2 Sn 0.000 0.500 0.328
Sn3 Sn 0.500 0.500 0.163
Sn4 Sn 0.500 0.500 0.500
```


DFT (PBE) results for an optimized crystal structure of ZrSeI2.

Properties
Uncorrected formation energy, meV/atom: -819.3
Total moment, μB/atom: 0.00
E above lowest polymorph, meV/atom: 87
DFT total energy, eV/atom: -4.603

```
data_ZrSeI2
_chemical_formula_sum 'Zr2 Se2 I4'
_cell_length_a 6.587
_cell_length_b 5.365
_cell_length_c 9.455
_cell_angle_alpha 90.00
_cell_angle_beta 107.22
_cell_angle_gamma 90.00
_space_group_name_H-M_alt 'C 1 m 1'
_space_group_IT_number 8
loop_
_space_group_symop_operation_xyz
'x,y,z'
'x,-y,z'
'x+1/2,y+1/2,z'
'x+1/2,-y+1/2,z'
loop_
_atom_site_label
_atom_site_type_symbol
_atom_site_fract_x
_atom_site_fract_y
_atom_site_fract_z
Zr1 Zr 0.000 0.000 0.000
Se1 Se 0.391 0.000 0.000
I1 I 0.025 0.000 0.296
I2 I 0.274 0.500 0.703
```